# 1
PmPa2Te: relaxed, PBE.

The density of states at the Fermi level comes out at 8.6 states/eV/f.u. The total moment comes out at 0.89 Bohr magnetons per cell. The value obtained for the uncorrected formation energy is -0.9 eV per formula unit.

It has space group P4/mmm (No. 123), with a = 4.510 Å, b = 4.510 Å, c = 5.082 Å, α = 90.00°, β = 90.00° and γ = 90.00°. The inequivalent atoms are Pm at (0.000, 0.000, 0.000), Pa at (0.000, 0.500, 0.500) and Te at (0.500, 0.500, 0.000).



# 2
CoSeBr2: relaxed, PBE.

The density of states at the Fermi level comes out at 3.7 states/eV/f.u. The total moment comes out at 2.22 Bohr magnetons per cell. The value obtained for the uncorrected formation energy is 0.3 eV per formula unit.

It has space group P4mm (No. 99), with a = 3.523 Å, b = 3.523 Å, c = 8.204 Å, α = 90.00°, β = 90.00° and γ = 90.00°. The inequivalent atoms are Co at (0.000, 0.000, 0.000), Se at (0.500, 0.500, 0.942), Br at (0.000, 0.000, 0.281) and Br at (0.500, 0.500, 0.649).